--- a ---
Material: Sr2OsPt
Method: DFT, PBE
State: relaxed

Fermi-level density of states: 0.85 states/eV/atom

Geometry as CIF:
```
data_Sr2OsPt
_space_group_name_H-M_alt 'C m m m'
_space_group_IT_number 65
_space_group_name_Hall '-C 2 2'
_cell_length_a 7.9734
_cell_length_b 7.9813
_cell_length_c 2.9724
_cell_angle_alpha 90.00
_cell_angle_beta 90.00
_cell_angle_gamma 90.00
loop_
_atom_site_label
_atom_site_fract_x
_atom_site_fract_y
_atom_site_fract_z
Sr1 0.2500 0.2500 0.0000
Os1 0.0000 0.0000 0.5000
Pt1 0.0000 0.5000 0.5000
```

=====

--- b ---
Material: Sr2OsPt
Method: DFT, PBE
State: relaxed

Fermi-level density of states: 0.95 states/eV/atom

Geometry as CIF:
```
data_Sr2OsPt
_space_group_name_H-M_alt 'R -3 m'
_space_group_IT_number 166
_space_group_name_Hall '-R 3 2"'
_cell_length_a 3.5037
_cell_length_b 3.5037
_cell_length_c 27.4499
_cell_angle_alpha 90.00
_cell_angle_beta 90.00
_cell_angle_gamma 120.00
loop_
_atom_site_label
_atom_site_fract_x
_atom_site_fract_y
_atom_site_fract_z
Sr1 0.0000 0.0000 0.2502
Os1 0.0000 0.0000 0.0000
Pt1 0.0000 0.0000 0.5000
```

=====

The structure with the most favorable energy is a; the runner-up is 275 meV/atom above it.

=====

--- a ---
Material: SrOs3Pt
Method: DFT, PBE
State: relaxed

Fermi-level density of states: 2.02 states/eV/atom

Geometry as CIF:
```
data_SrOs3Pt
_space_group_name_H-M_alt 'P m -3 m'
_space_group_IT_number 221
_space_group_name_Hall '-P 4 2 3'
_cell_length_a 4.8566
_cell_length_b 4.8566
_cell_length_c 4.8566
_cell_angle_alpha 90.00
_cell_angle_beta 90.00
_cell_angle_gamma 90.00
loop_
_atom_site_label
_atom_site_fract_x
_atom_site_fract_y
_atom_site_fract_z
Sr1 0.0000 0.0000 0.0000
Os1 0.0000 0.5000 0.5000
Pt1 0.5000 0.5000 0.5000
```

=====

--- b ---
Material: SrOs3Pt
Method: DFT, PBE
State: relaxed

Fermi-level density of states: 2.12 states/eV/atom

Geometry as CIF:
```
data_SrOs3Pt
_space_group_name_H-M_alt 'P m -3 m'
_space_group_IT_number 221
_space_group_name_Hall '-P 4 2 3'
_cell_length_a 4.7395
_cell_length_b 4.7395
_cell_length_c 4.7395
_cell_angle_alpha 90.00
_cell_angle_beta 90.00
_cell_angle_gamma 90.00
loop_
_atom_site_label
_atom_site_fract_x
_atom_site_fract_y
_atom_site_fract_z
Sr1 0.0000 0.0000 0.0000
Os1 0.0000 0.0000 0.5000
Pt1 0.5000 0.5000 0.5000
```

=====

The structure with the most favorable energy is a; the runner-up is 1906 meV/atom above it.

=====

--- a ---
Material: SrOsPt3
Method: DFT, PBE
State: relaxed

Fermi-level density of states: 1.38 states/eV/atom

Geometry as CIF:
```
data_SrOsPt3
_space_group_name_H-M_alt 'P m -3 m'
_space_group_IT_number 221
_space_group_name_Hall '-P 4 2 3'
_cell_length_a 5.0572
_cell_length_b 5.0572
_cell_length_c 5.0572
_cell_angle_alpha 90.00
_cell_angle_beta 90.00
_cell_angle_gamma 90.00
loop_
_atom_site_label
_atom_site_fract_x
_atom_site_fract_y
_atom_site_fract_z
Sr1 0.0000 0.0000 0.0000
Os1 0.5000 0.5000 0.5000
Pt1 0.0000 0.0000 0.5000
```

=====

--- b ---
Material: SrOsPt3
Method: DFT, PBE
State: relaxed

Fermi-level density of states: 0.91 states/eV/atom

Geometry as CIF:
```
data_SrOsPt3
_space_group_name_H-M_alt 'P m -3 m'
_space_group_IT_number 221
_space_group_name_Hall '-P 4 2 3'
_cell_length_a 4.9153
_cell_length_b 4.9153
_cell_length_c 4.9153
_cell_angle_alpha 90.00
_cell_angle_beta 90.00
_cell_angle_gamma 90.00
loop_
_atom_site_label
_atom_site_fract_x
_atom_site_fract_y
_atom_site_fract_z
Sr1 0.0000 0.0000 0.0000
Os1 0.5000 0.5000 0.5000
Pt1 0.0000 0.5000 0.5000
```

=====

The structure with the most favorable energy is b; the runner-up is 2140 meV/atom above it.

=====

--- a ---
Material: TaOsPt
Method: DFT, PBE
State: relaxed

Fermi-level density of states: 0.67 states/eV/atom

Geometry as CIF:
```
data_TaOsPt
_space_group_name_H-M_alt 'P 63/m m c'
_space_group_IT_number 194
_space_group_name_Hall '-P 6c 2c'
_cell_length_a 4.4825
_cell_length_b 4.4825
_cell_length_c 5.5038
_cell_angle_alpha 90.00
_cell_angle_beta 90.00
_cell_angle_gamma 120.00
loop_
_atom_site_label
_atom_site_fract_x
_atom_site_fract_y
_atom_site_fract_z
Ta1 0.3333 0.6667 0.2500
Os1 0.0000 0.0000 0.0000
Pt1 0.3333 0.6667 0.7500
```

=====

--- b ---
Material: TaOsPt
Method: DFT, PBE
State: relaxed

Fermi-level density of states: 0.83 states/eV/atom

Geometry as CIF:
```
data_TaOsPt
_space_group_name_H-M_alt 'C 1 2/m 1'
_space_group_IT_number 12
_space_group_name_Hall '-C 2y'
_cell_length_a 9.3419
_cell_length_b 2.8222
_cell_length_c 7.5065
_cell_angle_alpha 90.00
_cell_angle_beta 97.85
_cell_angle_gamma 90.00
loop_
_atom_site_label
_atom_site_fract_x
_atom_site_fract_y
_atom_site_fract_z
Ta1 0.1039 0.0000 0.2348
Os1 0.1335 0.5000 0.9321
Pt1 0.1501 0.0000 0.6010
```

=====

--- c ---
Material: TaOsPt
Method: DFT, PBE
State: relaxed

Fermi-level density of states: 0.36 states/eV/atom

Geometry as CIF:
```
data_TaOsPt
_space_group_name_H-M_alt 'P 3 m 1'
_space_group_IT_number 156
_space_group_name_Hall 'P 3 -2"'
_cell_length_a 4.5196
_cell_length_b 4.5196
_cell_length_c 2.7261
_cell_angle_alpha 90.00
_cell_angle_beta 90.00
_cell_angle_gamma 120.00
loop_
_atom_site_label
_atom_site_fract_x
_atom_site_fract_y
_atom_site_fract_z
Ta1 0.0000 0.0000 0.0000
Os1 0.3333 0.6667 0.3438
Pt1 0.6667 0.3333 0.8166
```

=====

The structure with the most favorable energy is a; the runner-up is 166 meV/atom above it.

=====

--- a ---
Material: TaOsPt
Method: DFT, PBE
State: relaxed

Fermi-level density of states: 1.08 states/eV/atom

Geometry as CIF:
```
data_TaOsPt
_space_group_name_H-M_alt 'I m m 2'
_space_group_IT_number 44
_space_group_name_Hall 'I 2 -2'
_cell_length_a 2.7530
_cell_length_b 4.0242
_cell_length_c 8.6010
_cell_angle_alpha 90.00
_cell_angle_beta 90.00
_cell_angle_gamma 90.00
loop_
_atom_site_label
_atom_site_fract_x
_atom_site_fract_y
_atom_site_fract_z
Ta1 0.0000 0.0000 0.0000
Os1 0.0000 0.0000 0.6621
Pt1 0.0000 0.0000 0.3280
```

=====

--- b ---
Material: TaOsPt
Method: DFT, PBE
State: relaxed

Fermi-level density of states: 0.53 states/eV/atom

Geometry as CIF:
```
data_TaOsPt
_space_group_name_H-M_alt 'F -4 3 m'
_space_group_IT_number 216
_space_group_name_Hall 'F -4 2 3'
_cell_length_a 6.0751
_cell_length_b 6.0751
_cell_length_c 6.0751
_cell_angle_alpha 90.00
_cell_angle_beta 90.00
_cell_angle_gamma 90.00
loop_
_atom_site_label
_atom_site_fract_x
_atom_site_fract_y
_atom_site_fract_z
Ta1 0.0000 0.0000 0.0000
Os1 0.2500 0.2500 0.7500
Pt1 0.2500 0.2500 0.2500
```

=====

--- c ---
Material: TaOsPt
Method: DFT, PBE
State: relaxed

Fermi-level density of states: 0.93 states/eV/atom

Geometry as CIF:
```
data_TaOsPt
_space_group_name_H-M_alt 'C m c m'
_space_group_IT_number 63
_space_group_name_Hall '-C 2c 2'
_cell_length_a 3.9959
_cell_length_b 11.9442
_cell_length_c 4.0134
_cell_angle_alpha 90.00
_cell_angle_beta 90.00
_cell_angle_gamma 90.00
loop_
_atom_site_label
_atom_site_fract_x
_atom_site_fract_y
_atom_site_fract_z
Ta1 0.0000 0.0991 0.2500
Os1 0.0000 0.2487 0.7500
Pt1 0.0000 0.4195 0.2500
```

=====

The structure with the most favorable energy is c; the runner-up is 139 meV/atom above it.

=====

--- a ---
Material: TaOs3Pt
Method: DFT, PBE
State: relaxed

Fermi-level density of states: 1.84 states/eV/atom

Geometry as CIF:
```
data_TaOs3Pt
_space_group_name_H-M_alt 'P m -3 m'
_space_group_IT_number 221
_space_group_name_Hall '-P 4 2 3'
_cell_length_a 4.6759
_cell_length_b 4.6759
_cell_length_c 4.6759
_cell_angle_alpha 90.00
_cell_angle_beta 90.00
_cell_angle_gamma 90.00
loop_
_atom_site_label
_atom_site_fract_x
_atom_site_fract_y
_atom_site_fract_z
Ta1 0.0000 0.0000 0.0000
Os1 0.0000 0.5000 0.5000
Pt1 0.5000 0.5000 0.5000
```

=====

--- b ---
Material: TaOs3Pt
Method: DFT, PBE
State: relaxed

Fermi-level density of states: 1.55 states/eV/atom

Geometry as CIF:
```
data_TaOs3Pt
_space_group_name_H-M_alt 'P m -3 m'
_space_group_IT_number 221
_space_group_name_Hall '-P 4 2 3'
_cell_length_a 4.7014
_cell_length_b 4.7014
_cell_length_c 4.7014
_cell_angle_alpha 90.00
_cell_angle_beta 90.00
_cell_angle_gamma 90.00
loop_
_atom_site_label
_atom_site_fract_x
_atom_site_fract_y
_atom_site_fract_z
Ta1 0.0000 0.0000 0.0000
Os1 0.0000 0.0000 0.5000
Pt1 0.5000 0.5000 0.5000
```

=====

The structure with the most favorable energy is b; the runner-up is 114 meV/atom above it.